DFT (PBE) results for an optimized crystal structure of BaSrRh.

Results
Its volume is 105 Å³/f.u. Its crystal system is cubic. The value obtained for the density of states at the Fermi level is 3.6 states/eV per cell. As for the relative energy among the computed polymorphs: 68 meV/atom.

Cell lengths 5.2984, 5.2984, 5.2984 Å; angles 60.00, 60.00, 60.00 degrees
Last column: nearest neighbours and their distance in Å.
Fractional coordinates of all 3 atoms:
1 Ba 0.5000 0.5000 0.5000  4 Rh 3.24
2 Rh 0.7500 0.7500 0.7500  4 Ba 3.24, 4 Sr 3.24
3 Sr 0.0000 0.0000 0.0000  4 Rh 3.24